(1)
{
  "formula": "Ce2Y3Se8",
  "functional": "PBE-GGA",
  "state": "optimized geometry",
  "lattice": [[7.3751, -4.1009, 0.0000], [7.3751, 4.1009, 0.0000], [-2.2860, 0.0000, 6.5887]],
  "species": ["Ce", "Ce", "Y", "Y", "Y", "Se", "Se", "Se", "Se", "Se", "Se", "Se", "Se"],
  "fractional_positions": [[0.2409, 0.2409, 0.1699], [0.7591, 0.7591, 0.8301], [0.2404, 0.7596, 0.5000], [0.5000, 0.5000, 0.0000], [0.7596, 0.2404, 0.5000], [0.1117, 0.1117, 0.3946], [0.1416, 0.6113, 0.0873], [0.3835, 0.3835, 0.5796], [0.3887, 0.8584, 0.9127], [0.6113, 0.1416, 0.0873], [0.6165, 0.6165, 0.4204], [0.8584, 0.3887, 0.9127], [0.8883, 0.8883, 0.6054]],
  "e_above_lowest_polymorph_kj_per_mol_atoms": 0.0,
  "raw_formation_energy_ev_per_atom": -1.768,
  "magmom_total_mub_per_cell": 1.03
}

=====

(2)
{
  "formula": "Ce4YSe5",
  "functional": "PBE-GGA",
  "state": "optimized geometry",
  "lattice": [[-2.0888, 2.0888, 14.7581], [2.0888, -2.0888, 14.7581], [2.0888, 2.0888, -14.7581]],
  "species": ["Ce", "Ce", "Ce", "Ce", "Y", "Se", "Se", "Se", "Se", "Se"],
  "fractional_positions": [[0.1002, 0.1002, 0.0000], [0.3007, 0.3007, 0.0000], [0.6993, 0.6993, 0.0000], [0.8998, 0.8998, 0.0000], [0.5000, 0.5000, 0.0000], [0.0000, 0.0000, 0.0000], [0.2003, 0.2003, 0.0000], [0.4023, 0.4023, 0.0000], [0.5977, 0.5977, 0.0000], [0.7997, 0.7997, 0.0000]],
  "raw_formation_energy_ev_per_atom": -1.807,
  "magmom_total_mub_per_cell": 3.49
}